a:
NaTeI2N | PBE | optimized geometry

Cell and atoms, written as POSCAR:
```
NaTeI2N
1.0
-2.0900 -4.7034 0.2958
4.4802 -2.0834 -1.4713
1.3836 -0.3212 4.6681
I Na N Te
2 1 1 1
direct
0.0000 0.5000 0.0000
0.5000 0.0000 0.0000
0.5000 0.5000 0.5000
0.0000 0.0000 0.0000
0.0000 0.0000 0.5000
```

D(E_F) = 0.40 states/eV per atom
SG = P4/mmm

b:
NaTeI2N | PBE | optimized geometry

Cell and atoms, written as POSCAR:
```
NaTeI2N
1.0
6.3319 0.0000 0.0000
0.0000 6.3319 0.0000
0.0000 0.0000 4.0518
I Te Na N
2 1 1 1
direct
0.5000 0.0000 0.0000
0.0000 0.5000 0.0000
0.0000 0.0000 0.0000
0.5000 0.5000 0.5000
0.0000 0.0000 0.5000
```

D(E_F) = 0.20 states/eV per atom
SG = P4/mmm

c:
NaTeI2N | PBE | optimized geometry

Cell and atoms, written as POSCAR:
```
NaTeI2N
1.0
6.0708 0.0000 0.0000
0.0000 6.0708 0.0000
0.0000 0.0000 6.1788
I N Te Na
2 1 1 1
direct
0.0000 0.5000 0.0000
0.5000 0.0000 0.0000
0.5000 0.5000 0.5000
0.0000 0.0000 0.5000
0.0000 0.0000 0.0000
```

D(E_F) = 0.86 states/eV per atom
SG = P4/mmm

Short version: c is the least stable of them.

a:
NaTiIN2 | PBE | optimized geometry

Cell and atoms, written as POSCAR:
```
NaTiIN2
1.0
4.2701 0.0000 0.0000
0.0000 4.2701 0.0000
0.0000 0.0000 5.2882
N Na Ti I
2 1 1 1
direct
0.5000 0.0000 0.0000
0.0000 0.5000 0.0000
0.0000 0.0000 0.0000
0.5000 0.5000 0.5000
0.0000 0.0000 0.5000
```

D(E_F) = 1.17 states/eV per atom
SG = P4/mmm

b:
NaTiIN2 | PBE | optimized geometry

Cell and atoms, written as POSCAR:
```
NaTiIN2
1.0
3.9552 0.0000 0.0000
0.0000 9.9241 0.0000
0.0000 0.0000 3.9552
N Ti Na I
2 1 1 1
direct
0.5000 0.0000 0.0000
0.0000 0.0000 0.5000
0.0000 0.0000 0.0000
0.0000 0.5000 0.0000
0.5000 0.5000 0.5000
```

D(E_F) = 0.38 states/eV per atom
SG = P4/mmm

Short version: a is the least stable of them.

a:
NaTlI2N | PBE | optimized geometry

Cell and atoms, written as POSCAR:
```
NaTlI2N
1.0
-5.3236 -2.8009 1.9592
2.0677 0.2485 5.9738
-1.8730 3.9000 0.4861
I Tl Na N
2 1 1 1
direct
0.0000 0.5000 0.0000
0.5000 0.0000 0.0000
0.0000 0.0000 0.0000
0.5000 0.5000 0.5000
0.0000 0.0000 0.5000
```

D(E_F) = 0.50 states/eV per atom
SG = P4/mmm

b:
NaTlI2N | PBE | optimized geometry

Cell and atoms, written as POSCAR:
```
NaTlI2N
1.0
6.1205 0.0000 0.0000
0.0000 6.1205 0.0000
0.0000 0.0000 4.8327
I Tl Na N
2 1 1 1
direct
0.5000 0.0000 0.0000
0.0000 0.5000 0.0000
0.5000 0.5000 0.5000
0.0000 0.0000 0.0000
0.0000 0.0000 0.5000
```

D(E_F) = 0.23 states/eV per atom
SG = P4/mmm

Short version: b is the least stable of them.

a:
NaZnIN2 | PBE | optimized geometry

Cell and atoms, written as POSCAR:
```
NaZnIN2
1.0
-0.8811 3.5900 -1.9666
-3.4708 0.4113 2.3058
3.2366 3.1548 4.3090
Zn N Na I
1 2 1 1
direct
0.0000 0.0000 0.0000
0.5000 0.0000 0.0000
0.0000 0.5000 0.0000
0.5000 0.5000 0.5000
0.0000 0.0000 0.5000
```

D(E_F) = 0.15 states/eV per atom
SG = P4/mmm

b:
NaZnIN2 | PBE | optimized geometry

Cell and atoms, written as POSCAR:
```
NaZnIN2
1.0
-0.8699 0.0232 4.5043
-4.4859 -0.4196 -0.8642
0.5915 -6.6303 0.1484
I Zn Na N
1 1 1 2
direct
0.0000 0.0000 0.5000
0.5000 0.5000 0.5000
0.0000 0.0000 0.0000
0.0000 0.5000 0.0000
0.5000 0.0000 0.0000
```

D(E_F) = 0.51 states/eV per atom
SG = P4/mmm

Short version: b is the least stable of them.